Entry from Alexandria via LeMat-Bulk: a geometry-optimized PmCd2AgAu4 structure (PBE).

Results
E_form   -0.36 eV/atom
Magnetization   0.0 μB/cell

Cell lengths 4.8568, 4.8568, 24.2839 Å; angles 90.00, 90.00, 120.00 degrees
Space group R-3m (No. 166, hexagonal axes)
Unique sites:
Pm 0.0000 0.0000 0.0000
Cd 0.0000 0.0000 0.2477
Ag 0.0000 0.0000 0.5000
Au 0.0000 0.0000 0.1269
Au 0.0000 0.0000 0.3841

---

Entry from Alexandria via LeMat-Bulk: a geometry-optimized AcAg2TeS2 structure (PBE).

Results
Uncorrected formation energy   -640 meV/atom
Magnetization   0.0 μB/cell

Cell lengths 6.993, 5.395, 8.560 Å; angles 90.00, 100.22, 90.00 degrees
Space group P2_1/m (No. 11)
Unique sites:
Ac 0.111 0.250 0.329
Ag 0.171 0.250 0.897
Ag 0.499 0.750 0.860
Te 0.239 0.750 0.093
S 0.249 0.001 0.633

---

Entry from Alexandria via LeMat-Bulk: a geometry-optimized CaSc2CuO structure (PBE).

Results
Uncorrected formation energy   -1129 meV/atom
Magnetization   0.0 μB/cell

Cell lengths 4.335, 4.335, 4.841 Å; angles 90.00, 90.00, 90.00 degrees
Space group P4/mmm (No. 123)
Unique sites:
Ca 0.000 0.000 0.000
Sc 0.000 0.500 0.500
Cu 0.500 0.500 0.000
O 0.000 0.000 0.500